# Ti2Ga3Rh4 | Alexandria | PBE | optimized geometry
data_Ti2Ga3Rh4
_chemical_formula_sum 'Ti4 Ga6 Rh8'
_cell_length_a 8.186
_cell_length_b 4.025
_cell_length_c 8.147
_cell_angle_alpha 90.00
_cell_angle_beta 101.73
_cell_angle_gamma 90.00
_symmetry_space_group_name_H-M 'C 1 2/m 1'
_symmetry_Int_Tables_number 12
_symmetry_space_group_name_Hall '-C 2y'
loop_
_atom_site_label
_atom_site_fract_x
_atom_site_fract_y
_atom_site_fract_z
Ti1 0.176 0.000 0.216
Ga1 0.000 0.500 0.000
Ga2 0.155 0.000 0.566
Rh1 0.024 0.500 0.329
Rh2 0.164 0.000 0.890
# crystal system	monoclinic
# DFT formation energy	-751	meV per atom
# calculated volume	263	Å³ per cell
# total magnetization	0.000	μB per cell